Record 1
Density functional theory data (PBE) for a relaxed structure of Pm2BeCu4Ge3.

```
Pm2BeCu4Ge3
1.0
-2.068 0.872 -3.434
-2.210 -3.425 0.460
-6.779 5.096 5.377
Cu Ge Pm Be
4 3 2 1
Direct
0.500 0.000 0.621
0.500 0.500 0.000
0.000 0.500 0.379
0.000 0.000 0.000
0.000 0.000 0.500
0.000 0.500 0.138
0.500 0.000 0.862
0.500 0.000 0.252
0.000 0.500 0.748
0.500 0.500 0.500
```

Computed properties:
- Formation enthalpy at 0 K: -0.4479 eV/atom


Record 2
Density functional theory data (PBE) for a relaxed structure of PrBeCuGe2.

```
PrBeCuGe2
1.0
4.120 0.000 0.000
0.000 4.120 0.000
-2.060 -2.060 5.126
Be Ge Pr Cu
1 2 1 1
Direct
0.750 0.250 0.500
0.626 0.626 0.252
0.374 0.374 0.748
0.000 0.000 0.000
0.250 0.750 0.500
```

Computed properties:
- Formation enthalpy at 0 K: -0.4307 eV/atom


Record 3
Density functional theory data (PBE) for a relaxed structure of Pr2BeCu3Ge4.

```
Pr2BeCu3Ge4
1.0
4.183 0.000 0.000
0.000 4.183 0.000
0.000 0.000 10.131
Ge Be Cu Pr
4 1 3 2
Direct
0.500 0.500 0.000
0.000 0.500 0.373
0.500 0.000 0.627
0.000 0.000 0.000
0.500 0.500 0.500
0.000 0.500 0.134
0.500 0.000 0.866
0.000 0.000 0.500
0.000 0.500 0.743
0.500 0.000 0.257
```

Computed properties:
- Formation enthalpy at 0 K: -0.4813 eV/atom


Record 4
Density functional theory data (PBE) for a relaxed structure of Pr2Be3CuGe4.

```
Pr2Be3CuGe4
1.0
-3.142 -1.140 2.484
2.715 -1.738 2.636
0.741 8.486 4.832
Pr Cu Be Ge
2 1 3 4
Direct
0.000 0.500 0.751
0.500 0.000 0.249
0.500 0.500 0.500
0.000 0.500 0.127
0.500 0.000 0.873
0.000 0.000 0.500
0.500 0.500 0.000
0.000 0.500 0.364
0.000 0.000 0.000
0.500 0.000 0.636
```

Computed properties:
- Formation enthalpy at 0 K: -0.4038 eV/atom